DFT (SCAN) results for a PBEsol-optimized structure of CuNiI2N.

a = 3.445 Å, b = 5.331 Å, c = 5.331 Å
α = 90.00°, β = 90.00°, γ = 90.00°
Site moments in Bohr magnetons follow the coordinates.
Positions (direct):
Ni  0.000  0.000  0.000  0.17
I  0.000  0.000  0.500  0.07
I  0.000  0.500  0.000  0.07
N  0.500  0.000  0.000  0.54
Cu  0.500  0.500  0.500  0.00

Values from the calculation:
Symmetry: No. 123
Total energy: -0.811 hartree per atom
ΔE_f (raw): 755 meV per atom